Compound: Re2HgOsW
Source: Alexandria
Functional: GGA-PBE
Structure: relaxed

Summary:
D(E_F), states/eV/f.u.: 6.33
Total magnetic moment, μB per cell: 2.33
Energy relative to the elements, eV per atom: 2.7545
Theoretical density, g/cm³: 14.2

Unit cell a=4.688 b=4.688 c=5.039 alpha=90.00 beta=90.00 gamma=90.00
Positions (direct):
1 Re 0.000 0.500 0.000
2 Re 0.500 0.000 0.000
3 Hg 0.000 0.000 0.500
4 Os 0.500 0.500 0.500
5 W 0.000 0.000 0.000

***

Compound: YRe2HgOs
Source: Alexandria
Functional: GGA-PBE
Structure: relaxed

Summary:
D(E_F), states/eV/f.u.: 9.13
Total magnetic moment, μB per cell: 2.86
Energy relative to the elements, eV per atom: 2.4487
Theoretical density, g/cm³: 11.8

Unit cell a=4.925 b=4.925 c=4.947 alpha=90.00 beta=90.00 gamma=90.00
Positions (direct):
1 Y 0.000 0.000 0.000
2 Re 0.000 0.500 0.500
3 Re 0.500 0.000 0.500
4 Hg 0.500 0.500 0.500
5 Os 0.500 0.500 0.000

***

Compound: Hg2OsRh2
Source: Alexandria
Functional: GGA-PBE
Structure: relaxed

Summary:
D(E_F), states/eV/f.u.: 6.16
Total magnetic moment, μB per cell: 3.43
Distance to the lowest polymorph of the same formula, meV/atom: 0
Energy relative to the elements, eV per atom: 0.8888
Theoretical density, g/cm³: 15.1

Unit cell a=7.630 b=7.630 c=3.020 alpha=90.00 beta=90.00 gamma=90.00
Positions (direct):
1 Hg 0.132 0.368 0.000
2 Hg 0.368 0.868 0.000
3 Hg 0.632 0.132 0.000
4 Hg 0.868 0.632 0.000
5 Os 0.000 0.000 0.000
6 Os 0.500 0.500 0.000
7 Rh 0.169 0.669 0.500
8 Rh 0.331 0.169 0.500
9 Rh 0.669 0.831 0.500
10 Rh 0.831 0.331 0.500

***

Compound: HgOsRh2
Source: Alexandria
Functional: GGA-PBE
Structure: relaxed

Summary:
D(E_F), states/eV/f.u.: 6.63
Total magnetic moment, μB per cell: 0.01
Energy relative to the elements, eV per atom: 0.5467
Theoretical density, g/cm³: 15.4

Unit cell a=2.778 b=2.778 c=9.619 alpha=90.00 beta=90.00 gamma=119.98
Positions (direct):
1 Hg 0.000 0.000 0.000
2 Os 0.500 0.500 0.272
3 Rh 0.000 0.000 0.503
4 Rh 0.500 0.500 0.742

***

Compound: HgOsRh2
Source: Alexandria
Functional: GGA-PBE
Structure: relaxed

Summary:
D(E_F), states/eV/f.u.: 4.85
Total magnetic moment, μB per cell: 0.00
Energy relative to the elements, eV per atom: 0.3914
Theoretical density, g/cm³: 15.5

Unit cell a=2.779 b=3.860 c=5.945 alpha=90.00 beta=90.00 gamma=90.00
Positions (direct):
1 Hg 0.000 0.000 0.000
2 Os 0.500 0.500 0.297
3 Rh 0.000 0.000 0.492
4 Rh 0.500 0.500 0.735

***

Compound: HgOs2Rh
Source: Alexandria
Functional: GGA-PBE
Structure: relaxed

Summary:
D(E_F), states/eV/f.u.: 2.56
Total magnetic moment, μB per cell: 0.00
Energy relative to the elements, eV per atom: 0.6023
Theoretical density, g/cm³: 17.4

Unit cell a=5.804 b=5.804 c=5.804 alpha=152.41 beta=133.66 gamma=54.78
Positions (direct):
1 Hg 0.000 0.000 0.000
2 Os 0.280 0.780 0.500
3 Os 0.720 0.220 0.500
4 Rh 0.500 0.500 0.000

***

Compound: HgOs2Rh
Source: Alexandria
Functional: GGA-PBE
Structure: relaxed

Summary:
D(E_F), states/eV/f.u.: 6.68
Total magnetic moment, μB per cell: 0.00
Energy relative to the elements, eV per atom: 1.0205
Theoretical density, g/cm³: 17.8

Unit cell a=4.742 b=4.742 c=2.833 alpha=90.00 beta=90.00 gamma=90.00
Positions (direct):
1 Hg 0.000 0.000 0.000
2 Os 0.000 0.500 0.500
3 Os 0.500 0.000 0.500
4 Rh 0.500 0.500 0.000

***

Compound: HgOs2Rh
Source: Alexandria
Functional: GGA-PBE
Structure: relaxed

Summary:
D(E_F), states/eV/f.u.: 4.00
Total magnetic moment, μB per cell: 0.00
Energy relative to the elements, eV per atom: 0.4371
Theoretical density, g/cm³: 17.8

Unit cell a=2.805 b=3.818 c=5.945 alpha=90.00 beta=90.00 gamma=90.00
Positions (direct):
1 Hg 0.000 0.000 0.000
2 Os 0.000 0.000 0.489
3 Os 0.500 0.500 0.296
4 Rh 0.500 0.500 0.739